Material: BaCrIr
Method: DFT, PBE
State: relaxed

Cell and atoms, written as extended XYZ:
```
12
Lattice="6.944 0.000 0.000 0.000 6.944 0.000 0.000 0.000 6.944" Properties=species:S:1:pos:R:3 pbc="T T T"
Ba 0.000 0.000 0.000
Ba 0.000 3.472 3.472
Ba 3.472 0.000 3.472
Ba 3.472 3.472 0.000
Cr 1.736 1.736 1.736
Cr 1.736 5.208 5.208
Cr 5.208 1.736 5.208
Cr 5.208 5.208 1.736
Ir 1.736 1.736 5.208
Ir 1.736 5.208 1.736
Ir 5.208 1.736 1.736
Ir 5.208 5.208 5.208
```

Output
formation energy from the elements = 1.46 eV/atom
uncorrected energy = -64.2 eV for the cell shown
V = 334.9 Å³/cell
excess energy over the best structure of this formula in the dataset = 1205 meV/atom
SG = F-43m, No. 216
density = 7568 kg/m³